(1)
DFT (PBE) results for crystalline Cs3Pm3TcO8 at its relaxed geometry.

formation energy from raw total energies: -2295.7 meV per atom
density: 5.84 g cm⁻³

Cell and atoms, written as extended XYZ:
```
15
Lattice="-5.4130 2.9490 -3.4710 1.0929 -6.9766 -0.4228 -3.0110 2.6947 6.9854" Properties=species:S:1:pos:R:3 pbc="T T T"
Pm -0.9591 -2.1409 3.2813
Pm -3.6656 -0.6664 1.5458
Pm -4.2120 2.8219 1.7572
O -1.9046 -2.1591 1.1359
O -5.0049 -2.6707 1.5623
O -2.6237 -0.4508 3.7087
O -5.3101 2.9635 -0.3840
O -4.7075 -0.8820 -0.6170
O -5.4266 0.8263 1.9557
O -2.0211 -4.2963 3.4756
O -2.3263 1.3379 1.5293
Cs -2.1601 -2.0138 -1.9469
Cs 0.0000 0.0000 0.0000
Cs 0.5464 -3.4883 -0.2114
Tc -1.5055 1.3473 3.4927
```

=====

(2)
DFT (PBE) results for crystalline CsPmTc2O8 at its relaxed geometry.

density of states at the Fermi level: 7.20 states/eV/cell
formation energy from raw total energies: -1921.1 meV per atom
density: 3.62 g cm⁻³

Cell and atoms, written as extended XYZ:
```
12
Lattice="6.1188 0.0000 0.0000 -3.0594 5.2990 0.0000 0.0000 0.0000 8.5074" Properties=species:S:1:pos:R:3 pbc="T T T"
O 1.5932 0.9237 2.8255
O 1.4662 4.3753 5.6819
O 3.0594 1.7663 0.4661
O 3.0627 3.4574 2.8255
O 0.0000 3.5327 8.0413
O -0.0033 1.8415 5.6819
O 4.5223 0.9179 2.8255
O -1.4629 4.3811 5.6819
Pm 0.0000 0.0000 4.2537
Tc 3.0594 1.7663 2.2149
Tc 0.0000 3.5327 6.2925
Cs 0.0000 0.0000 0.0000
```

=====

(3)
DFT (PBE) results for crystalline CsPm2TcO8 at its relaxed geometry.

density of states at the Fermi level: 0.48 states/eV/cell
formation energy from raw total energies: -2053.4 meV per atom
density: 6.15 g cm⁻³

Cell and atoms, written as extended XYZ:
```
12
Lattice="5.2882 -0.1053 -0.0377 -0.1093 4.4457 0.6307 0.0066 1.0660 7.6108" Properties=species:S:1:pos:R:3 pbc="T T T"
O 3.9807 4.3348 7.2366
O 5.1490 3.0931 1.9910
O 2.6607 1.9516 4.0685
O 3.6969 0.7342 0.7774
O 1.2048 1.0715 0.9671
O 1.4887 4.6722 7.4264
O 2.5248 3.4548 4.1353
O 0.0365 2.3133 6.2127
Pm 2.6591 2.8706 1.8503
Pm 2.5264 2.5358 6.3535
Tc 0.0000 0.0000 0.0000
Cs 0.0033 0.5330 3.8054
```

=====

(4)
DFT (PBE) results for crystalline Cs3PmTe2O9 at its relaxed geometry.

density of states at the Fermi level: 8.43 states/eV/cell
formation energy from raw total energies: -1504.5 meV per atom
density: 6.46 g cm⁻³

Cell and atoms, written as extended XYZ:
```
15
Lattice="6.1108 0.0000 0.0000 -3.0554 5.2921 0.0000 0.0000 0.0000 7.4928" Properties=species:S:1:pos:R:3 pbc="T T T"
O 1.3895 4.3303 2.3315
O 4.4449 0.9618 5.1613
O -1.3895 4.3303 2.3315
O 0.0000 1.9237 2.3315
O 1.6659 0.9618 5.1613
O 3.0554 0.0000 0.0000
O -1.5277 2.6461 0.0000
O 3.0554 3.3685 5.1613
O 1.5277 2.6461 0.0000
Te 0.0000 3.5281 1.2630
Te 3.0554 1.7640 6.2298
Cs 3.0554 1.7640 2.4856
Cs 0.0000 3.5281 5.0072
Cs 0.0000 0.0000 0.0000
Pm 0.0000 0.0000 3.7464
```

=====

(5)
DFT (PBE) results for crystalline CsPmTeO4 at its relaxed geometry.

density of states at the Fermi level: 0.00 states/eV/cell
formation energy from raw total energies: -2013.1 meV per atom
density: 5.07 g cm⁻³

Cell and atoms, written as extended XYZ:
```
14
Lattice="5.9937 0.0000 -0.5723 0.0000 6.3133 0.0000 -2.9717 0.0000 8.4044" Properties=species:S:1:pos:R:3 pbc="T T T"
Te 2.8015 1.5783 5.6501
Te 0.2205 4.7350 2.1820
O 4.0184 0.1026 4.9806
O 2.1583 4.7350 1.5016
O 1.9756 1.5783 3.9074
O -0.9964 6.2107 2.8515
O 1.0464 4.7350 3.9248
O 0.8637 1.5783 6.3305
O -0.9964 3.2593 2.8515
O 4.0184 3.0540 4.9806
Cs 2.7591 1.5783 0.8473
Cs 0.2629 4.7350 6.9848
Pm 3.3857 4.7350 3.4649
Pm -0.3637 1.5783 4.3672
```

=====

(6)
DFT (PBE) results for crystalline CsPmTe2O8 at its relaxed geometry.

density of states at the Fermi level: 0.00 states/eV/cell
formation energy from raw total energies: -1573.5 meV per atom
density: 3.89 g cm⁻³

Cell and atoms, written as extended XYZ:
```
12
Lattice="6.0077 0.0000 0.0000 -3.0039 5.2028 0.0000 0.0000 0.0000 9.0193" Properties=species:S:1:pos:R:3 pbc="T T T"
Cs 0.0000 0.0000 0.0000
O 0.0000 3.4685 8.4132
O 3.0038 1.7343 0.6062
O 3.4070 3.4178 3.0700
O 1.3443 1.2416 3.0700
O 4.2603 0.5434 3.0700
O 1.6595 3.9612 5.9493
O -0.4031 1.7850 5.9493
O -1.2564 4.6594 5.9493
Te 3.0038 1.7343 2.4269
Te 0.0000 3.4685 6.5924
Pm 0.0000 0.0000 4.5097
```

=====

(7)
DFT (PBE) results for crystalline Cs3PmTe2O8 at its relaxed geometry.

density of states at the Fermi level: 3.80 states/eV/cell
formation energy from raw total energies: -1632.0 meV per atom
density: 4.73 g cm⁻³

Cell and atoms, written as extended XYZ:
```
14
Lattice="6.5727 0.0000 0.0000 -3.2864 5.6921 0.0000 0.0000 0.0000 8.6932" Properties=species:S:1:pos:R:3 pbc="T T T"
Cs 0.0000 3.7948 6.6603
Cs 3.2864 1.8974 2.0329
Cs 0.0000 0.0000 0.0000
Te 0.0000 3.7948 2.6152
Te 3.2864 1.8974 6.0779
O 0.0000 1.8501 2.8851
O 0.0000 3.7948 0.7642
O 3.2864 1.8974 7.9290
O -1.6841 4.7671 2.8851
O 1.6022 0.9250 5.8080
O 4.9705 0.9250 5.8080
O 1.6841 4.7671 2.8851
O 3.2864 3.8421 5.8080
Pm 0.0000 0.0000 4.3466
```

=====

(8)
DFT (PBE) results for crystalline Cs2PmTiO4 at its relaxed geometry.

density of states at the Fermi level: 5.47 states/eV/cell
formation energy from raw total energies: -2232.2 meV per atom
density: 3.39 g cm⁻³

Cell and atoms, written as extended XYZ:
```
16
Lattice="6.0973 0.0000 0.0000 3.0486 6.7873 0.0000 3.0486 0.0000 12.3757" Properties=species:S:1:pos:R:3 pbc="T T T"
O 4.2875 1.0445 0.8937
O 5.8118 4.4381 5.2941
O 3.3341 2.3492 5.2941
O 4.8585 5.7428 0.8937
O 10.3847 5.7428 11.4819
O 9.4314 4.4381 7.0816
O 5.8118 2.3492 7.0816
O 4.8585 1.0445 11.4819
Ti 4.5730 3.3936 6.1878
Ti 3.0486 0.0000 0.0000
Cs 7.6216 3.3936 10.6831
Cs 7.6216 3.3936 1.6926
Cs 3.0486 0.0000 7.8804
Cs 6.0973 0.0000 4.4953
Pm 7.6216 3.3936 6.1878
Pm 0.0000 0.0000 0.0000
```

=====

(9)
DFT (PBE) results for crystalline Cs2PmTi2O7 at its relaxed geometry.

density of states at the Fermi level: 6.92 states/eV/cell
formation energy from raw total energies: -2599.0 meV per atom
density: 5.31 g cm⁻³

Cell and atoms, written as extended XYZ:
```
12
Lattice="3.9504 -0.0024 0.0101 0.0024 3.9504 0.0101 1.9448 1.9424 12.3960" Properties=species:S:1:pos:R:3 pbc="T T T"
O 3.9475 1.9688 1.7295
O 1.9736 3.9451 1.7295
O 3.9240 1.9453 10.6867
O 3.9310 3.9263 8.5487
O 1.9665 1.9642 3.8675
O 1.9764 1.9740 0.0101
O 1.9501 3.9216 10.6867
Pm 0.0000 0.0000 0.0000
Ti 1.9712 1.9688 2.0761
Ti 3.9264 3.9216 10.3401
Cs 1.9569 1.9546 7.7993
Cs 3.9407 3.9359 4.6169
```

=====

(10)
DFT (PBE) results for crystalline Cs2PmTi2O6 at its relaxed geometry.

formation energy from raw total energies: -2596.9 meV per atom
density: 4.38 g cm⁻³

Cell and atoms, written as extended XYZ:
```
11
Lattice="6.3849 0.0000 0.0000 3.1924 5.5295 0.0000 3.1924 1.8432 6.4735" Properties=species:S:1:pos:R:3 pbc="T T T"
O 7.9173 4.5710 1.4011
O 7.9173 2.8016 5.0725
O 4.8525 2.8016 5.0725
O 6.3849 5.4558 5.0725
O 6.3849 1.9168 1.4011
O 4.8525 4.5710 1.4011
Cs 9.5773 5.5295 4.1893
Cs 3.1924 1.8432 2.2842
Ti 6.3849 3.6863 4.7836
Ti 6.3849 3.6863 1.6899
Pm 0.0000 0.0000 0.0000
```

=====

(11)
DFT (PBE) results for crystalline Cs3Pm3TiO8 at its relaxed geometry.

density of states at the Fermi level: 0.00 states/eV/cell
formation energy from raw total energies: -2628.1 meV per atom
density: 5.63 g cm⁻³

Cell and atoms, written as extended XYZ:
```
15
Lattice="-1.1591 -4.9549 -4.8420 6.5772 1.6562 1.8258 -4.1690 -4.3010 5.3991" Properties=species:S:1:pos:R:3 pbc="T T T"
Pm -2.6640 -4.6279 0.2786
Pm 1.2041 -1.3224 3.6125
Pm 0.6246 -3.7998 1.1915
O 2.6875 -4.9905 1.5963
O -0.6926 -5.7075 0.9114
O -2.0906 -5.3976 -1.9383
O 1.6108 -4.4657 -0.9106
O 1.9418 -1.8922 1.4715
O -0.3616 -3.1340 3.2936
O 3.3398 -2.2021 4.3212
O -1.4383 -2.6092 0.7866
Cs 3.2886 0.8281 0.9129
Cs 0.0000 0.0000 0.0000
Cs 2.7091 -1.6493 -1.5081
Ti -2.0845 -2.1505 2.6996
```

=====

(12)
DFT (PBE) results for crystalline Cs3Pm2TlO6 at its relaxed geometry.

density of states at the Fermi level: 0.00 states/eV/cell
formation energy from raw total energies: -1963.7 meV per atom
density: 6.85 g cm⁻³

Cell and atoms, written as extended XYZ:
```
12
Lattice="6.3194 0.0021 -0.0008 -3.1564 5.4747 -0.0008 -1.0555 -1.8276 6.9261" Properties=species:S:1:pos:R:3 pbc="T T T"
O 3.1656 1.8119 5.7302
O -1.0581 1.8372 1.1944
O 2.0976 3.6319 1.2020
O 0.0100 0.0172 5.7226
O 2.1201 0.0017 1.1944
O -0.0126 3.6475 5.7302
Tl 0.0000 0.0000 0.0000
Cs 4.2319 -0.0109 3.4623
Cs 1.0538 1.8246 3.4623
Cs -2.1243 3.6600 3.4623
Pm 3.1605 1.8265 -0.0008
Pm 0.0026 3.6503 -0.0008
```